1.
A plane-wave DFT calculation with GGA-PBEsol was carried out for a relaxed TcAgIr2 crystal.

Computed properties:
- Relative energy among the computed polymorphs: 0.4 kJ per mole of atoms
- Calculated total energy: -33.2 eV per cell

a b c (Å): 2.706 3.908 5.502
angles (deg): 90.00 90.00 90.00
Space group Pmm2 (No. 25)
One atom of each set of equivalent atoms:
Tc1 0.000 0.000 0.000 (multiplicity 1)
Ag1 0.500 0.500 0.273 (multiplicity 1)
Ir1 0.000 0.000 0.528 (multiplicity 1)
Ir2 0.500 0.500 0.783 (multiplicity 1)


2.
A plane-wave DFT calculation with GGA-PBEsol was carried out for a relaxed TcAgIr2 crystal.

Computed properties:
- Relative energy among the computed polymorphs: 18.3 kJ per mole of atoms
- Calculated total energy: -32.5 eV per cell

a b c (Å): 3.900 3.900 3.817
angles (deg): 90.00 90.00 90.00
Space group P4/mmm (No. 123)
One atom of each set of equivalent atoms:
Tc1 0.000 0.000 0.000 (multiplicity 1)
Ag1 0.500 0.500 0.000 (multiplicity 1)
Ir1 0.000 0.500 0.500 (multiplicity 2)